(1)
DFT (PBE) results for a relaxed BeAlSbOs crystal.

Values from the calculation:
- Electronic total energy: -20.7 eV/f.u.
- M_tot: 0.02 μB per cell

```
data_BeAlSbOs
_chemical_formula_sum 'Be4 Al4 Sb4 Os4'
_cell_length_a 6.267
_cell_length_b 6.267
_cell_length_c 6.267
_cell_angle_alpha 90.00
_cell_angle_beta 90.00
_cell_angle_gamma 90.00
_space_group_name_H-M_alt 'F -4 3 m'
_space_group_IT_number 216
_space_group_name_Hall 'F -4 2 3'
loop_
_atom_site_label
_atom_site_fract_x
_atom_site_fract_y
_atom_site_fract_z
Be1 0.000 0.000 0.000
Al1 0.000 0.000 0.500
Sb1 0.250 0.250 0.250
Os1 0.250 0.250 0.750
```

***

(2)
DFT (PBE) results for a relaxed TaBeAlOs crystal.

Values from the calculation:
- Electronic total energy: -31.9 eV/f.u.
- M_tot: 0.00 μB per cell

```
data_TaBeAlOs
_chemical_formula_sum 'Ta4 Be4 Al4 Os4'
_cell_length_a 6.090
_cell_length_b 6.090
_cell_length_c 6.090
_cell_angle_alpha 90.00
_cell_angle_beta 90.00
_cell_angle_gamma 90.00
_space_group_name_H-M_alt 'F -4 3 m'
_space_group_IT_number 216
_space_group_name_Hall 'F -4 2 3'
loop_
_atom_site_label
_atom_site_fract_x
_atom_site_fract_y
_atom_site_fract_z
Ta1 0.000 0.000 0.000
Be1 0.250 0.250 0.750
Al1 0.000 0.000 0.500
Os1 0.250 0.250 0.250
```

***

M_tot of number 2 (TaBeAlOs)? 0.00 μB per cell

***

Which of these has the lowest M_tot? TaBeAlOs

***

What did the first record say?
DFT (PBE) results for a relaxed BeAlSbOs crystal.

Values from the calculation:
- Electronic total energy: -20.7 eV/f.u.
- M_tot: 0.02 μB per cell

```
data_BeAlSbOs
_chemical_formula_sum 'Be4 Al4 Sb4 Os4'
_cell_length_a 6.267
_cell_length_b 6.267
_cell_length_c 6.267
_cell_angle_alpha 90.00
_cell_angle_beta 90.00
_cell_angle_gamma 90.00
_space_group_name_H-M_alt 'F -4 3 m'
_space_group_IT_number 216
_space_group_name_Hall 'F -4 2 3'
loop_
_atom_site_label
_atom_site_fract_x
_atom_site_fract_y
_atom_site_fract_z
Be1 0.000 0.000 0.000
Al1 0.000 0.000 0.500
Sb1 0.250 0.250 0.250
Os1 0.250 0.250 0.750
```